An optimized crystal structure of Ru8Au. Source: the Alexandria database, functional PBE.

Lattice parameters (Å, degrees): 6.1086 6.1086 6.1086 95.68 95.68 143.33
Last column: nearest neighbours and their distance in Å.
Fractional positions:
Ru: 0.0000 0.3409 0.3409  11 Ru 2.61-2.76, 1 Au 2.80
Ru: 0.0000 0.6591 0.6591  11 Ru 2.61-2.76, 1 Au 2.80
Ru: 0.3259 0.3259 0.6517  10 Ru 2.61-2.86, 2 Au 2.79
Ru: 0.3259 0.6741 0.0000  10 Ru 2.61-2.86, 2 Au 2.79
Ru: 0.3409 0.0000 0.3409  11 Ru 2.61-2.76, 1 Au 2.80
Ru: 0.6591 0.0000 0.6591  11 Ru 2.61-2.76, 1 Au 2.80
Ru: 0.6741 0.3259 0.0000  10 Ru 2.61-2.86, 2 Au 2.79
Ru: 0.6741 0.6741 0.3483  10 Ru 2.61-2.86, 2 Au 2.79
Au: 0.0000 0.0000 0.0000  12 Ru 2.79-2.80

Calculated values
For the total moment, the calculation gives 0.00 μB per cell. Its symmetry is I4/mmm. The calculation puts the calculated total energy at -8.45 eV/atom. The formation energy from the elements comes out at 0.1605 eV per atom. As for the volume: 129.2 Å³/f.u.